## Ta7As6 (PBE)

Data for a geometry-optimized Ta7As6 structure.

Results
For the total magnetization, the calculation gives 0.000 Bohr magnetons per cell. The calculation puts the total DFT energy (no corrections) at -111.3 eV/f.u.

Lattice parameters (Å, degrees): 10.0915 10.0915 10.0915 31.98 31.98 31.98
Atoms (fractional coordinates):
As (0.9252, 0.9252, 0.9252)
As (0.0748, 0.0748, 0.0748)
As (0.8164, 0.8164, 0.8164)
As (0.1836, 0.1836, 0.1836)
As (0.6671, 0.6671, 0.6671)
As (0.3329, 0.3329, 0.3329)
Ta (0.9197, 0.4271, 0.4271)
Ta (0.4271, 0.4271, 0.9197)
Ta (0.4271, 0.9197, 0.4271)
Ta (0.0803, 0.5729, 0.5729)
Ta (0.5729, 0.0803, 0.5729)
Ta (0.5729, 0.5729, 0.0803)
Ta (0.5000, 0.5000, 0.5000)